BaBi12Mo5O34 | GGA+U | relaxed

E: -331.0 eV per formula unit
M_tot: 0.000 μB/f.u.
D(E_F): 0.0 states/eV/f.u.

Lattice parameters (Å, degrees): 12.0329 5.8541 25.5243 90.00 102.56 90.00
Space group P2/c (No. 13)
Asymmetric unit:
Ba (0.0000, 0.0000, 0.0000) (multiplicity 2)
Bi (0.1403, 0.0306, 0.1798) (multiplicity 4)
Bi (0.2363, 0.0486, 0.3424) (multiplicity 4)
Bi (0.2598, 0.4735, 0.6018) (multiplicity 4)
Bi (0.3444, 0.4486, 0.2546) (multiplicity 4)
Bi (0.4188, 0.4588, 0.9074) (multiplicity 4)
Bi (0.4584, 0.0489, 0.6743) (multiplicity 4)
Mo (0.0000, 0.4722, 0.7500) (multiplicity 2)
Mo (0.0783, 0.4944, 0.9171) (multiplicity 4)
Mo (0.3435, 0.0168, 0.0112) (multiplicity 4)
O (0.0074, 0.2440, 0.8851) (multiplicity 4)
O (0.0210, 0.3469, 0.3080) (multiplicity 4)
O (0.0222, 0.2716, 0.0872) (multiplicity 4)
O (0.1141, 0.4144, 0.9860) (multiplicity 4)
O (0.1227, 0.2904, 0.7517) (multiplicity 4)
O (0.2094, 0.4202, 0.3975) (multiplicity 4)
O (0.2229, 0.1081, 0.5321) (multiplicity 4)
O (0.2311, 0.1438, 0.2589) (multiplicity 4)
O (0.2698, 0.2080, 0.6658) (multiplicity 4)
O (0.2725, 0.2862, 0.1676) (multiplicity 4)
O (0.3012, 0.1006, 0.9415) (multiplicity 4)
O (0.3648, 0.2144, 0.8402) (multiplicity 4)
O (0.3805, 0.2753, 0.3443) (multiplicity 4)
O (0.3865, 0.2546, 0.0567) (multiplicity 4)
O (0.4347, 0.3881, 0.6290) (multiplicity 4)
O (0.4499, 0.2012, 0.5192) (multiplicity 4)
O (0.5000, 0.2393, 0.7500) (multiplicity 2)
O (0.5000, 0.2495, 0.2500) (multiplicity 2)